(1)
First-principles (SCAN) data for Ba2CuPb at its PBEsol-relaxed geometry, as listed in Alexandria via LeMat-Bulk.

abc: 4.881 4.881 6.883
angles: 90.00 90.00 90.00
Fractional positions:
Ba  0.500  0.500  0.000
Ba  0.000  0.000  0.500
Pb  0.500  0.500  0.500
Cu  0.000  0.000  0.000

The value obtained for the energy is -42.66 eV per atom. As for the symmetry: P4/mmm. The density of states at the Fermi level is 3.82 states/eV per cell.

(2)
First-principles (SCAN) data for NiAsSe2 at its PBEsol-relaxed geometry, as listed in Alexandria via LeMat-Bulk.

abc: 3.773 3.773 7.711
angles: 75.84 75.84 60.00
Site moments in Bohr magnetons follow the coordinates.
Fractional positions:
Se  0.901  0.901  0.296  0.03
Se  0.099  0.099  0.704  0.03
As  0.500  0.500  0.500  0.01
Ni  0.000  0.000  0.000  0.85

As for the energy relative to the elements, uncorrected: 0.26 eV/atom. The value obtained for the energy is -18.87 eV per atom. As for the symmetry: R-3m. The density of states at the Fermi level is 3.61 states/eV per cell.

(3)
First-principles (SCAN) data for InRhF3 at its PBEsol-relaxed geometry, as listed in Alexandria via LeMat-Bulk.

abc: 4.194 4.194 4.194
angles: 90.00 90.00 90.00
Site moments in Bohr magnetons follow the coordinates.
Fractional positions:
Rh  0.000  0.000  0.000  0.97
F  0.000  0.000  0.500  0.00
F  0.000  0.500  0.000  0.00
F  0.500  0.000  0.000  0.00
In  0.500  0.500  0.500  0.00

As for the energy relative to the elements, uncorrected: -1.48 eV/atom. The value obtained for the energy is -17.03 eV per atom. As for the symmetry: Pm-3m. The density of states at the Fermi level is 0.62 states/eV per cell.

Among the records above, which one has the lowest energy?
Ba2CuPb

Number 2 is which compound?
NiAsSe2

energy of number 3 (InRhF3)?
-17.03 eV per atom